w | Mn2PbS | PBE | relaxed

Computed properties:
DOS at the Fermi energy (states/eV/cell): 3.252

Structure (POSCAR):
```
Mn2PbS
1.0
-1.796 -0.721 -6.861
-3.648 -5.918 1.577
-5.349 -1.566 -2.139
Pb Mn S
2 4 2
Cartesian
0.000 0.000 0.000 Pb
-4.933 -2.803 -5.821 Pb
-2.815 -1.541 -4.240 Mn
-3.943 -4.221 -0.793 Mn
-6.258 -3.997 -3.497 Mn
-8.570 -6.651 -6.316 Mn
-5.860 -5.401 -1.602 S
-2.722 -3.319 -2.642 S
```

x | Mn2PbS | PBE | relaxed

Computed properties:
DOS at the Fermi energy (states/eV/cell): 4.373

Structure (POSCAR):
```
Mn2PbS
1.0
-2.684 2.852 2.579
-2.096 3.688 -1.997
-4.651 0.015 -0.594
Mn S Pb
2 1 1
Cartesian
-7.073 4.917 -0.009 Mn
-2.358 1.639 -0.003 Mn
0.000 0.000 0.000 S
-4.716 3.278 -0.006 Pb
```

Quick look at relative energies in meV/atom: w 0; x 244.

w | ScMnPb3 | PBE | relaxed

Computed properties:
DOS at the Fermi energy (states/eV/cell): 4.742

Structure (POSCAR):
```
ScMnPb3
1.0
5.232 0.000 0.000
0.000 5.232 0.000
0.000 0.000 5.232
Mn Pb Sc
1 3 1
Cartesian
0.000 0.000 0.000 Mn
2.616 0.000 0.000 Pb
0.000 2.616 0.000 Pb
0.000 0.000 2.616 Pb
2.616 2.616 2.616 Sc
```

x | ScMnPb3 | PBE | relaxed

Computed properties:
DOS at the Fermi energy (states/eV/cell): 11.490

Structure (POSCAR):
```
ScMnPb3
1.0
-4.624 -2.866 -0.984
2.933 -4.685 -0.135
-0.763 -0.635 5.439
Pb Sc Mn
3 1 1
Cartesian
-0.382 -0.317 2.719 Pb
-2.312 -1.433 -0.492 Pb
1.466 -2.342 -0.068 Pb
0.000 0.000 0.000 Sc
-1.227 -4.093 2.160 Mn
```

Quick look at relative energies in meV/atom: w 0; x 856.

w | ScMnPb | PBE | relaxed

Computed properties:
DOS at the Fermi energy (states/eV/cell): 4.299

Structure (POSCAR):
```
ScMnPb
1.0
4.617 0.000 0.000
2.308 3.998 0.000
2.308 1.333 3.769
Mn Pb Sc
1 1 1
Cartesian
6.925 3.998 2.827 Mn
0.000 0.000 0.000 Pb
4.617 2.665 1.885 Sc
```

x | ScMnPb | PBE | relaxed

Computed properties:
DOS at the Fermi energy (states/eV/cell): 3.618

Structure (POSCAR):
```
ScMnPb
1.0
-1.789 -0.935 -4.225
4.553 -0.714 0.824
-0.671 -3.149 0.981
Sc Pb Mn
1 1 1
Cartesian
1.992 -2.887 -0.205 Sc
0.213 -1.386 -2.378 Pb
-0.112 -0.525 0.163 Mn
```

Quick look at relative energies in meV/atom: w 104; x 0.